# 1
Compound: Sr4ReP
Source: Alexandria
Functional: meta-GGA SCAN
Structure: PBEsol geometry

Properties
* space group: F-43m, No. 216
* magnetization: 2.04 Bohr magnetons per cell
* formation energy from the elements: 30.53 kcal/mol of atoms
* D(E_F): 2.4 states/eV/f.u.

Lattice parameters (Å, degrees): 6.276 6.276 6.276 60.00 60.00 60.00
Last column: magnetic moment on the atom in μB.
Element x y z (fractional)
Sr  0.375  0.375  0.375  -0.08
Sr  0.375  0.875  0.375  -0.08
Sr  0.375  0.375  0.875  -0.08
Sr  0.875  0.375  0.375  -0.08
Re  0.000  0.000  0.000  2.16
P  0.750  0.750  0.750  0.02



# 2
Compound: TaReP2
Source: Alexandria
Functional: meta-GGA SCAN
Structure: PBEsol geometry

Properties
* space group: R3m, No. 160
* magnetization: 0.00 Bohr magnetons per cell
* formation energy from the elements: -2.28 kcal/mol of atoms
* D(E_F): 1.0 states/eV/f.u.

Lattice parameters (Å, degrees): 3.003 3.003 7.690 78.74 78.74 60.00
Element x y z (fractional)
Re  0.491  0.491  0.528
P  0.750  0.750  0.750
P  0.004  0.004  0.989
Ta  0.256  0.256  0.233



# 3
Compound: TaReP
Source: Alexandria
Functional: meta-GGA SCAN
Structure: PBEsol geometry

Properties
* space group: F-43m, No. 216
* magnetization: 0.00 Bohr magnetons per cell
* formation energy from the elements: -0.28 kcal/mol of atoms
* D(E_F): 3.9 states/eV/f.u.
* E above lowest polymorph: 0.249 eV/atom

Lattice parameters (Å, degrees): 4.164 4.164 4.164 60.00 60.00 60.00
Element x y z (fractional)
Ta  0.000  0.000  0.000
P  0.500  0.500  0.500
Re  0.750  0.750  0.750



# 4
Compound: TaReP4
Source: Alexandria
Functional: meta-GGA SCAN
Structure: PBEsol geometry

Properties
* space group: F-43m, No. 216
* magnetization: 0.00 Bohr magnetons per cell
* formation energy from the elements: 19.84 kcal/mol of atoms
* D(E_F): 3.0 states/eV/f.u.

Lattice parameters (Å, degrees): 4.871 4.871 4.871 60.00 60.00 60.00
Element x y z (fractional)
Re  0.250  0.250  0.250
P  0.625  0.625  0.125
P  0.625  0.625  0.625
P  0.625  0.125  0.625
P  0.125  0.625  0.625
Ta  0.000  0.000  0.000



# 5
Compound: TaReP
Source: Alexandria
Functional: meta-GGA SCAN
Structure: PBEsol geometry

Properties
* space group: I4mm, No. 107
* magnetization: 0.00 Bohr magnetons per cell
* formation energy from the elements: -6.01 kcal/mol of atoms
* D(E_F): 2.1 states/eV/f.u.
* E above lowest polymorph: 0.000 eV/atom

Lattice parameters (Å, degrees): 2.933 2.934 5.442 105.64 105.64 90.00
Element x y z (fractional)
Re  0.641  0.641  0.281
P  0.018  0.018  0.036
Ta  0.342  0.342  0.683



# 6
Compound: Ta2ReP
Source: Alexandria
Functional: meta-GGA SCAN
Structure: PBEsol geometry

Properties
* space group: Pmmm, No. 47
* magnetization: 0.00 Bohr magnetons per cell
* formation energy from the elements: -2.24 kcal/mol of atoms
* D(E_F): 2.3 states/eV/f.u.
* E above lowest polymorph: 0.000 eV/atom

Lattice parameters (Å, degrees): 3.280 4.158 4.489 90.00 90.00 90.00
Element x y z (fractional)
Ta  0.500  0.000  0.500
Ta  0.000  0.000  0.000
P  0.500  0.500  0.000
Re  0.000  0.500  0.500



# 7
Compound: TaReP
Source: Alexandria
Functional: meta-GGA SCAN
Structure: PBEsol geometry

Properties
* space group: P3m1, No. 156
* magnetization: 0.00 Bohr magnetons per cell
* formation energy from the elements: 0.24 kcal/mol of atoms
* D(E_F): 1.8 states/eV/f.u.
* E above lowest polymorph: 0.271 eV/atom

Lattice parameters (Å, degrees): 2.909 2.909 6.095 90.00 90.00 120.00
Element x y z (fractional)
P  0.000  0.000  0.981
Re  0.333  0.667  0.698
Ta  0.667  0.333  0.321



# 8
Compound: Ta2ReP
Source: Alexandria
Functional: meta-GGA SCAN
Structure: PBEsol geometry

Properties
* space group: R3m, No. 160
* magnetization: 0.00 Bohr magnetons per cell
* formation energy from the elements: 1.71 kcal/mol of atoms
* D(E_F): 3.4 states/eV/f.u.
* E above lowest polymorph: 0.171 eV/atom

Lattice parameters (Å, degrees): 2.919 2.919 8.700 80.34 80.34 60.00
Element x y z (fractional)
P  0.506  0.506  0.482
Ta  0.759  0.759  0.722
Ta  0.996  0.996  0.013
Re  0.239  0.239  0.282